(1)
This record from the Alexandria database describes a relaxed CaSbSeBr2 crystal. The functional is PBE.

The structure in POSCAR format:
```
CaSbSeBr2
1.0
5.373 0.000 0.000
0.000 5.373 0.000
0.000 0.000 5.893
Br Se Sb Ca
2 1 1 1
Direct
0.000 0.500 0.000
0.500 0.000 0.000
0.000 0.000 0.500
0.500 0.500 0.500
0.000 0.000 0.000
```

Computed properties:
distance to the lowest polymorph of the same formula = 0.011 eV per atom
formation energy without anion corrections = -519.5 meV/atom
size of the total moment = 1.00 μB per formula unit
V = 170.1 Å³ per cell

=====

(2)
This record from the Alexandria database describes a relaxed CaSbSe2Br crystal. The functional is PBE.

The structure in POSCAR format:
```
CaSbSe2Br
1.0
-2.085 0.199 -5.125
-4.156 -3.307 1.562
-2.848 4.204 1.322
Br Se Sb Ca
1 2 1 1
Direct
0.000 0.000 0.500
0.500 0.000 0.000
0.000 0.500 0.000
0.500 0.500 0.500
0.000 0.000 0.000
```

Computed properties:
distance to the lowest polymorph of the same formula = 0.352 eV per atom
formation energy without anion corrections = -204.3 meV/atom
size of the total moment = 0.00 μB per formula unit
V = 160.8 Å³ per cell

=====

(3)
This record from the Alexandria database describes a relaxed CaSbSeBr2 crystal. The functional is PBE.

The structure in POSCAR format:
```
CaSbSeBr2
1.0
-0.924 5.053 -2.113
-5.435 -0.580 0.991
0.690 2.264 5.114
Ca Br Se Sb
1 2 1 1
Direct
0.500 0.500 0.500
0.000 0.500 0.000
0.500 0.000 0.000
0.000 0.000 0.500
0.000 0.000 0.000
```

Computed properties:
distance to the lowest polymorph of the same formula = 0.000 eV per atom
formation energy without anion corrections = -530.4 meV/atom
size of the total moment = 0.00 μB per formula unit
V = 173.9 Å³ per cell

=====

(4)
This record from the Alexandria database describes a relaxed Ca4SbSe2Br crystal. The functional is PBE.

The structure in POSCAR format:
```
Ca4SbSe2Br
1.0
6.102 0.332 0.000
-0.333 6.102 0.000
-2.884 -3.217 6.178
Se Sb Ca Br
2 1 4 1
Direct
0.187 0.687 0.500
0.687 0.187 0.500
0.937 0.937 0.000
0.437 0.938 0.000
0.693 0.693 0.512
0.181 0.181 0.488
0.938 0.437 0.000
0.437 0.437 0.000
```

Computed properties:
formation energy without anion corrections = -1683.4 meV/atom
size of the total moment = 0.00 μB per formula unit
V = 230.7 Å³ per cell

=====

> Which value of formation energy without anion corrections does entry 3 give?

-530.4 meV/atom